{"formula": "In2SnF4", "functional": "GGA-PBE", "state": "relaxed", "cell": [[4.762, 0.000, 0.000], [0.000, 4.762, 0.000], [0.000, 0.000, 13.674]], "species": ["In", "In", "In", "In", "Sn", "Sn", "F", "F", "F", "F", "F", "F", "F", "F"], "frac_coords": [[0.000, 0.000, 0.152], [0.000, 0.000, 0.848], [0.500, 0.500, 0.348], [0.500, 0.500, 0.652], [0.000, 0.000, 0.500], [0.500, 0.500, 0.000], [0.000, 0.000, 0.323], [0.000, 0.000, 0.677], [0.000, 0.500, 0.000], [0.000, 0.500, 0.500], [0.500, 0.000, 0.000], [0.500, 0.000, 0.500], [0.500, 0.500, 0.177], [0.500, 0.500, 0.823]], "volume_a3_per_atom": 22.1, "e_tot_ev_per_atom": -4.244, "formation_energy_uncorrected_ev_per_atom": -1.82}

***

{"formula": "In2Sn2F7", "functional": "GGA-PBE", "state": "relaxed", "cell": [[4.245, -3.572, 0.000], [4.245, 3.572, 0.000], [-1.052, 0.000, 6.849]], "species": ["In", "In", "Sn", "Sn", "F", "F", "F", "F", "F", "F", "F"], "frac_coords": [[0.227, 0.773, 0.000], [0.773, 0.227, 0.000], [0.268, 0.268, 0.582], [0.732, 0.732, 0.418], [0.000, 0.000, 0.500], [0.025, 0.440, 0.791], [0.440, 0.025, 0.791], [0.498, 0.498, 0.188], [0.502, 0.502, 0.812], [0.560, 0.975, 0.209], [0.975, 0.560, 0.209]], "n_ef_per_ev_cell": 3.79, "volume_a3_per_atom": 18.9, "e_tot_ev_per_atom": -4.496, "formation_energy_uncorrected_ev_per_atom": -2.08}

***

{"formula": "TiInSnF6", "functional": "GGA-PBE", "state": "relaxed", "cell": [[5.142, 0.000, 0.000], [0.115, 5.918, 0.000], [0.016, 2.858, 5.326]], "species": ["Ti", "In", "Sn", "F", "F", "F", "F", "F", "F"], "frac_coords": [[0.000, 0.000, 0.000], [0.458, 0.338, 0.323], [0.925, 0.681, 0.666], [0.189, 0.878, 0.344], [0.205, 0.304, 0.809], [0.208, 0.767, 0.885], [0.788, 0.230, 0.089], [0.788, 0.710, 0.186], [0.811, 0.067, 0.680]], "n_ef_per_ev_cell": 1.29, "volume_a3_per_atom": 18.0, "e_tot_ev_per_atom": -5.449, "formation_energy_uncorrected_ev_per_atom": -2.58}

***

{"formula": "ZnIn2SnF6", "functional": "GGA-PBE", "state": "relaxed", "cell": [[3.323, 1.918, 4.402], [-3.323, 1.918, 4.402], [0.000, -3.837, 4.402]], "species": ["Zn", "In", "In", "Sn", "F", "F", "F", "F", "F", "F"], "frac_coords": [[0.000, 0.000, 0.000], [0.242, 0.242, 0.242], [0.758, 0.758, 0.758], [0.500, 0.500, 0.500], [0.160, 0.306, 0.835], [0.165, 0.840, 0.694], [0.306, 0.835, 0.160], [0.694, 0.165, 0.840], [0.835, 0.160, 0.306], [0.840, 0.694, 0.165]], "n_ef_per_ev_cell": 0.00, "volume_a3_per_atom": 16.8, "e_tot_ev_per_atom": -4.198, "formation_energy_uncorrected_ev_per_atom": -2.00}